The following is a PBE calculation of a relaxed CsSiC3 crystal, from Alexandria.

Cell and atoms, written as extended XYZ:
```
5
Lattice="4.0573 0.0000 0.0000 0.0000 4.0573 0.0000 0.0000 0.0000 4.0573" Properties=species:S:1:pos:R:3 pbc="T T T"
Cs 0.0000 0.0000 0.0000
Si 2.0287 2.0287 2.0287
C 0.0000 2.0287 2.0287
C 2.0287 0.0000 2.0287
C 2.0287 2.0287 0.0000
```

Results
offset from the most stable computed form	0	meV per atom
mass density	4.9	g/cm3
formation energy without anion corrections	1117	kJ/mol of formula units
total DFT energy (no corrections)	-4.474	eV per atom